First-principles (PBE) data for crystalline Pm2Dy5Tl at its relaxed geometry, as listed in Alexandria via LeMat-Bulk.

Computed properties:
Energy of formation ... -1.36 kcal/mol of atoms
E above lowest polymorph ... 0 meV per atom
V ... 30.93 Å³ per atom
Crystal system ... orthorhombic
Energy ... -4.42 eV per atom

a = 4.9724 Å, b = 7.0490 Å, c = 14.1201 Å
α = 90.00°, β = 90.00°, γ = 90.00°
With the nearest neighbours (Å) after each atom.
Sites, in units of the cell vectors:
Dy (0.5000, 0.7432, 0.6247)  4 Pm 3.45-3.60, 6 Dy 3.48-3.57, 2 Tl 3.54
Dy (0.0000, 0.5055, 0.2429)  1 Tl 3.43, 7 Dy 3.48-3.63, 4 Pm 3.49-3.52
Dy (0.0000, 0.5000, 0.5000)  6 Dy 3.50-3.63, 2 Tl 3.52, 4 Pm 3.53
Dy (0.0000, 0.4945, 0.7571)  1 Tl 3.43, 7 Dy 3.48-3.63, 4 Pm 3.49-3.52
Dy (0.5000, 0.2432, 0.8753)  4 Pm 3.45-3.60, 6 Dy 3.48-3.57, 2 Tl 3.54
Dy (0.5000, 0.7568, 0.1247)  4 Pm 3.45-3.60, 6 Dy 3.48-3.57, 2 Tl 3.54
Dy (0.0000, 0.0000, 0.0000)  6 Dy 3.50-3.63, 2 Tl 3.52, 4 Pm 3.53
Dy (0.0000, 0.0055, 0.2571)  1 Tl 3.43, 7 Dy 3.48-3.63, 4 Pm 3.49-3.52
Dy (0.0000, 0.9945, 0.7429)  1 Tl 3.43, 7 Dy 3.48-3.63, 4 Pm 3.49-3.52
Dy (0.5000, 0.2568, 0.3753)  4 Pm 3.45-3.60, 6 Dy 3.48-3.57, 2 Tl 3.54
Pm (0.5000, 0.2536, 0.6277)  10 Dy 3.45-3.60, 2 Tl 3.55
Pm (0.5000, 0.7464, 0.3723)  10 Dy 3.45-3.60, 2 Tl 3.55
Pm (0.5000, 0.7536, 0.8723)  10 Dy 3.45-3.60, 2 Tl 3.55
Pm (0.5000, 0.2464, 0.1277)  10 Dy 3.45-3.60, 2 Tl 3.55
Tl (0.0000, 0.5000, 0.0000)  8 Dy 3.43-3.54, 4 Pm 3.55
Tl (0.0000, 0.0000, 0.5000)  8 Dy 3.43-3.54, 4 Pm 3.55

=====

First-principles (PBE) data for crystalline Pm5DyTl6 at its relaxed geometry, as listed in Alexandria via LeMat-Bulk.

Computed properties:
Energy of formation ... -8.72 kcal/mol of atoms
V ... 28.87 Å³ per atom
Crystal system ... monoclinic
Energy ... -3.92 eV per atom

a = 5.4711 Å, b = 9.4608 Å, c = 9.4809 Å
α = 60.07°, β = 73.18°, γ = 54.55°
With the nearest neighbours (Å) after each atom.
Sites, in units of the cell vectors:
Tl (0.2462, 0.5894, 0.3288)  1 Dy 3.30, 7 Pm 3.33-3.38
Tl (0.7423, 0.7572, 0.0000)  2 Dy 3.31-3.32, 6 Pm 3.36-3.38
Tl (0.2577, 0.2428, 0.0000)  2 Dy 3.31-3.32, 6 Pm 3.36-3.38
Tl (0.2462, 0.9182, 0.6712)  1 Dy 3.30, 7 Pm 3.33-3.38
Tl (0.7538, 0.4106, 0.6712)  1 Dy 3.30, 7 Pm 3.33-3.38
Tl (0.7538, 0.0818, 0.3288)  1 Dy 3.30, 7 Pm 3.33-3.38
Pm (0.5000, 0.8305, 0.3389)  8 Tl 3.33-3.36
Pm (0.5000, 0.1695, 0.6611)  8 Tl 3.33-3.36
Pm (0.0000, 0.6657, 0.6686)  8 Tl 3.36-3.38
Pm (0.0000, 0.3343, 0.3314)  8 Tl 3.36-3.38
Pm (0.5000, 0.5000, 0.0000)  8 Tl 3.34-3.38
Dy (0.0000, 0.0000, 0.0000)  8 Tl 3.30-3.32

=====

First-principles (PBE) data for crystalline PmDy8Tl2 at its relaxed geometry, as listed in Alexandria via LeMat-Bulk.

Computed properties:
Energy of formation ... -0.08 kcal/mol of atoms
V ... 31.48 Å³ per atom
Crystal system ... monoclinic
Energy ... -4.21 eV per atom

a = 5.6508 Å, b = 8.7776 Å, c = 8.7776 Å
α = 119.46°, β = 101.83°, γ = 101.83°
With the nearest neighbours (Å) after each atom.
Sites, in units of the cell vectors:
Dy (0.8799, 0.6777, 0.9055)  2 Tl 3.16-3.37, 3 Dy 3.37-3.50
Dy (0.1201, 0.3223, 0.0945)  2 Tl 3.16-3.37, 3 Dy 3.37-3.50
Dy (0.8799, 0.9055, 0.6777)  2 Tl 3.16-3.37, 3 Dy 3.37-3.50
Dy (0.7041, 0.4055, 0.4055)  2 Dy 3.07-3.36, 1 Pm 3.29, 2 Tl 3.31
Dy (0.5000, 0.7807, 0.2193)  2 Tl 3.12, 1 Pm 3.32
Dy (0.1201, 0.0945, 0.3223)  2 Tl 3.16-3.37, 3 Dy 3.37-3.50
Dy (0.2959, 0.5945, 0.5945)  2 Dy 3.07-3.36, 1 Pm 3.29, 2 Tl 3.31
Dy (0.5000, 0.2193, 0.7807)  2 Tl 3.12, 1 Pm 3.32
Pm (0.5000, 0.0000, 0.0000)  8 Dy 3.29-3.66
Tl (0.0000, 0.3062, 0.6938)  8 Dy 3.12-3.37
Tl (0.0000, 0.6938, 0.3062)  8 Dy 3.12-3.37

=====

First-principles (PBE) data for crystalline Pm2Dy3Tl2 at its relaxed geometry, as listed in Alexandria via LeMat-Bulk.

Computed properties:
Energy of formation ... -4.64 kcal/mol of atoms
V ... 30.08 Å³ per atom
Crystal system ... monoclinic
Energy ... -4.21 eV per atom

a = 5.4653 Å, b = 5.4581 Å, c = 8.7448 Å
α = 108.24°, β = 90.00°, γ = 120.04°
With the nearest neighbours (Å) after each atom.
Sites, in units of the cell vectors:
Dy (0.3463, 0.6926, 0.5392)  1 Tl 3.17, 3 Dy 3.22, 3 Pm 3.51
Dy (0.6537, 0.3074, 0.4608)  1 Tl 3.17, 3 Dy 3.22, 3 Pm 3.51
Dy (0.5000, 0.0000, 0.0000)  6 Tl 3.38-3.39, 2 Dy 3.76
Tl (0.7829, 0.5658, 0.8490)  4 Dy 3.17-3.39, 4 Pm 3.30-3.45
Tl (0.2171, 0.4342, 0.1510)  4 Dy 3.17-3.39, 4 Pm 3.30-3.45
Pm (0.9239, 0.8477, 0.2718)  4 Tl 3.30-3.45, 3 Dy 3.51
Pm (0.0761, 0.1523, 0.7282)  4 Tl 3.30-3.45, 3 Dy 3.51

=====

First-principles (PBE) data for crystalline Pm5DyTl4 at its relaxed geometry, as listed in Alexandria via LeMat-Bulk.

Computed properties:
Energy of formation ... -0.84 kcal/mol of atoms
E above lowest polymorph ... 256 meV per atom
V ... 34.06 Å³ per atom
Crystal system ... orthorhombic
Energy ... -3.82 eV per atom

a = 8.7185 Å, b = 8.3709 Å, c = 9.3346 Å
α = 90.00°, β = 90.00°, γ = 90.00°
With the nearest neighbours (Å) after each atom.
Sites, in units of the cell vectors:
Tl (0.5641, 0.1683, 0.0000)  1 Tl 2.82, 1 Pm 2.93
Tl (0.9990, 0.0000, 0.3341)  1 Tl 3.10, 5 Pm 3.20-3.34, 1 Dy 3.20
Tl (0.0010, 0.5000, 0.8341)  1 Tl 3.10, 5 Pm 3.20-3.34, 1 Dy 3.20
Tl (0.9990, 0.0000, 0.6659)  1 Tl 3.10, 5 Pm 3.20-3.34, 1 Dy 3.20
Tl (0.4360, 0.3317, 0.5000)  1 Tl 2.82, 1 Pm 2.93
Tl (0.4360, 0.6683, 0.5000)  1 Tl 2.82, 1 Pm 2.93
Tl (0.5641, 0.8317, 0.0000)  1 Tl 2.82, 1 Pm 2.93
Tl (0.0010, 0.5000, 0.1659)  1 Tl 3.10, 5 Pm 3.20-3.34, 1 Dy 3.20
Dy (0.9156, 0.0000, 0.0000)  4 Tl 3.20-3.37
Dy (0.0844, 0.5000, 0.5000)  4 Tl 3.20-3.37
Pm (0.7326, 0.7388, 0.3058)  4 Tl 3.20-3.34, 1 Pm 3.52
Pm (0.2674, 0.7612, 0.1942)  4 Tl 3.20-3.34, 1 Pm 3.52
Pm (0.7326, 0.7388, 0.6942)  4 Tl 3.20-3.34, 1 Pm 3.52
Pm (0.2674, 0.2388, 0.1942)  4 Tl 3.20-3.34, 1 Pm 3.52
Pm (0.2674, 0.7612, 0.8058)  4 Tl 3.20-3.34, 1 Pm 3.52
Pm (0.6729, 0.5000, 0.0000)  4 Tl 2.93-3.25
Pm (0.3271, 0.0000, 0.5000)  4 Tl 2.93-3.25
Pm (0.7326, 0.2612, 0.6942)  4 Tl 3.20-3.34, 1 Pm 3.52
Pm (0.2674, 0.2388, 0.8058)  4 Tl 3.20-3.34, 1 Pm 3.52
Pm (0.7326, 0.2612, 0.3058)  4 Tl 3.20-3.34, 1 Pm 3.52

=====

First-principles (PBE) data for crystalline Pm8DyTl2 at its relaxed geometry, as listed in Alexandria via LeMat-Bulk.

Computed properties:
Energy of formation ... -0.98 kcal/mol of atoms
V ... 32.54 Å³ per atom
Crystal system ... monoclinic
Energy ... -4.35 eV per atom

a = 6.2155 Å, b = 10.0912 Å, c = 10.0912 Å
α = 39.28°, β = 64.93°, γ = 64.93°
With the nearest neighbours (Å) after each atom.
Sites, in units of the cell vectors:
Pm (0.7302, 0.5085, 0.5085)  2 Pm 3.02-3.22, 1 Tl 3.25
Pm (0.2222, 0.0854, 0.5657)  4 Pm 3.26-3.61, 3 Tl 3.26-3.64, 1 Dy 3.45
Pm (0.7778, 0.9146, 0.4343)  4 Pm 3.26-3.61, 3 Tl 3.26-3.64, 1 Dy 3.45
Pm (0.3331, 0.1262, 0.1262)  3 Tl 3.50-3.87, 6 Pm 3.61-3.89, 2 Dy 3.74-3.81
Pm (0.2222, 0.5657, 0.0854)  4 Pm 3.26-3.61, 3 Tl 3.26-3.64, 1 Dy 3.45
Pm (0.6669, 0.8738, 0.8738)  3 Tl 3.50-3.87, 6 Pm 3.61-3.89, 2 Dy 3.74-3.81
Pm (0.2698, 0.4915, 0.4915)  2 Pm 3.02-3.22, 1 Tl 3.25
Pm (0.7778, 0.4343, 0.9146)  4 Pm 3.26-3.61, 3 Tl 3.26-3.64, 1 Dy 3.45
Dy (0.0000, 0.0000, 0.0000)  12 Pm 3.45-3.81
Tl (0.7488, 0.3230, 0.3230)  8 Pm 3.25-3.50
Tl (0.2512, 0.6770, 0.6770)  8 Pm 3.25-3.50

=====

First-principles (PBE) data for crystalline Pm4DyTl5 at its relaxed geometry, as listed in Alexandria via LeMat-Bulk.

Computed properties:
Energy of formation ... -8.76 kcal/mol of atoms
V ... 28.81 Å³ per atom
Crystal system ... tetragonal
Energy ... -3.92 eV per atom

a = 3.8193 Å, b = 3.8193 Å, c = 19.7497 Å
α = 90.00°, β = 90.00°, γ = 90.00°
With the nearest neighbours (Å) after each atom.
Sites, in units of the cell vectors:
Tl (0.5000, 0.5000, 0.0943)  4 Dy 3.28, 4 Pm 3.36
Tl (0.5000, 0.5000, 0.7029)  8 Pm 3.36
Tl (0.5000, 0.5000, 0.2971)  8 Pm 3.36
Tl (0.5000, 0.5000, 0.9057)  4 Dy 3.28, 4 Pm 3.36
Tl (0.5000, 0.5000, 0.5000)  8 Pm 3.36
Pm (0.0000, 0.0000, 0.6013)  8 Tl 3.36
Pm (0.0000, 0.0000, 0.8041)  8 Tl 3.36
Pm (0.0000, 0.0000, 0.3987)  8 Tl 3.36
Pm (0.0000, 0.0000, 0.1959)  8 Tl 3.36
Dy (0.0000, 0.0000, 0.0000)  8 Tl 3.28

=====

First-principles (PBE) data for crystalline PmDy4Tl2 at its relaxed geometry, as listed in Alexandria via LeMat-Bulk.

Computed properties:
Energy of formation ... 2.13 kcal/mol of atoms
E above lowest polymorph ... 212 meV per atom
V ... 33.69 Å³ per atom
Crystal system ... trigonal
Energy ... -3.89 eV per atom

a = 5.1268 Å, b = 5.1268 Å, c = 10.7740 Å
α = 76.24°, β = 76.24°, γ = 60.00°
With the nearest neighbours (Å) after each atom.
Sites, in units of the cell vectors:
Tl (0.6017, 0.6017, 0.1950)  7 Dy 3.07-3.27, 1 Pm 3.16
Tl (0.3983, 0.3983, 0.8050)  7 Dy 3.07-3.27, 1 Pm 3.16
Dy (0.2950, 0.2950, 0.1149)  4 Tl 3.07-3.21
Dy (0.7050, 0.7050, 0.8851)  4 Tl 3.07-3.21
Dy (0.1099, 0.1099, 0.6703)  3 Tl 3.27, 3 Pm 3.45
Dy (0.8901, 0.8901, 0.3297)  3 Tl 3.27, 3 Pm 3.45
Pm (0.5000, 0.5000, 0.5000)  2 Tl 3.16, 6 Dy 3.45

=====

First-principles (PBE) data for crystalline Pm9Dy4Tl11 at its relaxed geometry, as listed in Alexandria via LeMat-Bulk.

Computed properties:
Energy of formation ... -6.87 kcal/mol of atoms
V ... 29.00 Å³ per atom
Crystal system ... orthorhombic
Energy ... -3.93 eV per atom

a = 3.6024 Å, b = 14.0159 Å, c = 14.0159 Å
α = 100.39°, β = 90.00°, γ = 90.00°
With the nearest neighbours (Å) after each atom.
Sites, in units of the cell vectors:
Dy (0.5000, 0.7358, 0.5682)  6 Tl 3.23-3.45, 2 Pm 3.27-3.44, 3 Dy 3.60-3.61
Dy (0.5000, 0.5682, 0.7358)  6 Tl 3.23-3.45, 2 Pm 3.27-3.44, 3 Dy 3.60-3.61
Dy (0.5000, 0.2642, 0.4318)  6 Tl 3.23-3.45, 2 Pm 3.27-3.44, 3 Dy 3.60-3.61
Dy (0.5000, 0.4318, 0.2642)  6 Tl 3.23-3.45, 2 Pm 3.27-3.44, 3 Dy 3.60-3.61
Pm (0.5000, 0.9674, 0.7928)  8 Tl 3.33-3.40, 3 Pm 3.60-3.70
Pm (0.5000, 0.0326, 0.2072)  8 Tl 3.33-3.40, 3 Pm 3.60-3.70
Pm (0.5000, 0.6235, 0.1419)  8 Tl 3.36-3.58, 1 Dy 3.44, 3 Pm 3.60-3.70
Pm (0.5000, 0.2072, 0.0326)  8 Tl 3.33-3.40, 3 Pm 3.60-3.70
Pm (0.5000, 0.1419, 0.6235)  8 Tl 3.36-3.58, 1 Dy 3.44, 3 Pm 3.60-3.70
Pm (0.5000, 0.7928, 0.9674)  8 Tl 3.33-3.40, 3 Pm 3.60-3.70
Pm (0.5000, 0.5000, 0.5000)  4 Dy 3.27, 4 Tl 3.43, 2 Pm 3.60
Pm (0.5000, 0.3765, 0.8581)  8 Tl 3.36-3.58, 1 Dy 3.44, 3 Pm 3.60-3.70
Pm (0.5000, 0.8581, 0.3765)  8 Tl 3.36-3.58, 1 Dy 3.44, 3 Pm 3.60-3.70
Tl (0.0000, 0.3644, 0.6356)  6 Pm 3.43-3.58, 4 Dy 3.45, 2 Tl 3.60
Tl (0.0000, 0.0000, 0.0000)  8 Pm 3.38, 4 Tl 3.60-3.68
Tl (0.0000, 0.0692, 0.4168)  2 Dy 3.25, 3 Tl 3.29-3.60, 6 Pm 3.40-3.42
Tl (0.0000, 0.2377, 0.2377)  4 Dy 3.23, 4 Pm 3.35, 2 Tl 3.60
Tl (0.0000, 0.1709, 0.8291)  8 Pm 3.33-3.36, 3 Tl 3.60-3.68
Tl (0.0000, 0.4168, 0.0692)  2 Dy 3.25, 3 Tl 3.29-3.60, 6 Pm 3.40-3.42
Tl (0.0000, 0.8291, 0.1709)  8 Pm 3.33-3.36, 3 Tl 3.60-3.68
Tl (0.0000, 0.5832, 0.9308)  2 Dy 3.25, 3 Tl 3.29-3.60, 6 Pm 3.40-3.42
Tl (0.0000, 0.7623, 0.7623)  4 Dy 3.23, 4 Pm 3.35, 2 Tl 3.60
Tl (0.0000, 0.6356, 0.3644)  6 Pm 3.43-3.58, 4 Dy 3.45, 2 Tl 3.60
Tl (0.0000, 0.9308, 0.5832)  2 Dy 3.25, 3 Tl 3.29-3.60, 6 Pm 3.40-3.42

=====

First-principles (PBE) data for crystalline Pm5Dy6Tl at its relaxed geometry, as listed in Alexandria via LeMat-Bulk.

Computed properties:
Energy of formation ... -0.63 kcal/mol of atoms
V ... 31.76 Å³ per atom
Crystal system ... orthorhombic
Energy ... -4.51 eV per atom

a = 4.9941 Å, b = 9.4263 Å, c = 9.4263 Å
α = 106.67°, β = 105.34°, γ = 105.34°
With the nearest neighbours (Å) after each atom.
Sites, in units of the cell vectors:
Pm (0.5000, 0.1682, 0.8318)  8 Dy 3.52-3.60, 2 Tl 3.56, 2 Pm 3.57
Pm (0.0000, 0.6629, 0.3371)  4 Pm 3.51-3.57, 8 Dy 3.57-3.59
Pm (0.0000, 0.3371, 0.6629)  4 Pm 3.51-3.57, 8 Dy 3.57-3.59
Pm (0.5000, 0.8318, 0.1682)  8 Dy 3.52-3.60, 2 Tl 3.56, 2 Pm 3.57
Pm (0.5000, 0.5000, 0.5000)  4 Pm 3.51, 8 Dy 3.58-3.59
Dy (0.2555, 0.7557, 0.7557)  2 Tl 3.51, 4 Dy 3.53, 6 Pm 3.54-3.59
Dy (0.7542, 0.9193, 0.5890)  7 Pm 3.52-3.60, 1 Tl 3.52, 4 Dy 3.53-3.58
Dy (0.7445, 0.2443, 0.2443)  2 Tl 3.51, 4 Dy 3.53, 6 Pm 3.54-3.59
Dy (0.2458, 0.0807, 0.4110)  7 Pm 3.52-3.60, 1 Tl 3.52, 4 Dy 3.53-3.58
Dy (0.7542, 0.5890, 0.9193)  7 Pm 3.52-3.60, 1 Tl 3.52, 4 Dy 3.53-3.58
Dy (0.2458, 0.4110, 0.0807)  7 Pm 3.52-3.60, 1 Tl 3.52, 4 Dy 3.53-3.58
Tl (0.0000, 0.0000, 0.0000)  8 Dy 3.51-3.52, 4 Pm 3.56

=====

First-principles (PBE) data for crystalline PmDyTl at its relaxed geometry, as listed in Alexandria via LeMat-Bulk.

Computed properties:
Energy of formation ... 6.96 kcal/mol of atoms
E above lowest polymorph ... 565 meV per atom
V ... 33.58 Å³ per atom
Crystal system ... tetragonal
Energy ... -3.60 eV per atom

a = 3.3843 Å, b = 3.3843 Å, c = 9.1167 Å
α = 100.70°, β = 100.70°, γ = 90.00°
With the nearest neighbours (Å) after each atom.
Sites, in units of the cell vectors:
Tl (0.1333, 0.1333, 0.2665)  1 Pm 3.11, 4 Dy 3.28, 4 Tl 3.38
Pm (0.9563, 0.9563, 0.9126)  1 Tl 3.11, 4 Pm 3.38, 1 Dy 3.45
Dy (0.7604, 0.7604, 0.5208)  4 Tl 3.28, 4 Dy 3.38, 1 Pm 3.45

=====

First-principles (PBE) data for crystalline Pm15DyTl4 at its relaxed geometry, as listed in Alexandria via LeMat-Bulk.

Computed properties:
Energy of formation ... -3.54 kcal/mol of atoms
V ... 31.20 Å³ per atom
Crystal system ... tetragonal
Energy ... -4.42 eV per atom

a = 4.9604 Å, b = 4.9604 Å, c = 25.3595 Å
α = 90.00°, β = 90.00°, γ = 90.00°
With the nearest neighbours (Å) after each atom.
Sites, in units of the cell vectors:
Pm (0.0000, 0.5000, 0.6971)  4 Tl 3.49-3.52, 8 Pm 3.51-3.53
Pm (0.5000, 0.5000, 0.0000)  4 Dy 3.51, 8 Pm 3.63
Pm (0.5000, 0.0000, 0.3029)  4 Tl 3.49-3.52, 8 Pm 3.51-3.53
Pm (0.5000, 0.0000, 0.6971)  4 Tl 3.49-3.52, 8 Pm 3.51-3.53
Pm (0.0000, 0.5000, 0.1045)  8 Pm 3.51-3.63, 2 Tl 3.57, 2 Dy 3.63
Pm (0.5000, 0.0000, 0.5000)  8 Pm 3.51-3.52, 4 Tl 3.52
Pm (0.0000, 0.5000, 0.3029)  4 Tl 3.49-3.52, 8 Pm 3.51-3.53
Pm (0.5000, 0.0000, 0.8955)  8 Pm 3.51-3.63, 2 Tl 3.57, 2 Dy 3.63
Pm (0.5000, 0.5000, 0.7959)  4 Tl 3.51, 8 Pm 3.53-3.54
Pm (0.0000, 0.5000, 0.8955)  8 Pm 3.51-3.63, 2 Tl 3.57, 2 Dy 3.63
Pm (0.5000, 0.5000, 0.4016)  4 Tl 3.51, 8 Pm 3.52
Pm (0.5000, 0.5000, 0.2041)  4 Tl 3.51, 8 Pm 3.53-3.54
Pm (0.0000, 0.5000, 0.5000)  8 Pm 3.51-3.52, 4 Tl 3.52
Pm (0.5000, 0.5000, 0.5984)  4 Tl 3.51, 8 Pm 3.52
Pm (0.5000, 0.0000, 0.1045)  8 Pm 3.51-3.63, 2 Tl 3.57, 2 Dy 3.63
Tl (0.0000, 0.0000, 0.7941)  12 Pm 3.49-3.57
Tl (0.0000, 0.0000, 0.4017)  12 Pm 3.51-3.52
Tl (0.0000, 0.0000, 0.2059)  12 Pm 3.49-3.57
Tl (0.0000, 0.0000, 0.5983)  12 Pm 3.51-3.52
Dy (0.0000, 0.0000, 0.0000)  12 Pm 3.51-3.63